# 1
# KAg2Te2 (PBE, relaxed)
# density	5.7	g/cm³
# uncorrected energy	-3.014	eV per atom
data_KAg2Te2
_chemical_formula_sum 'K1 Ag2 Te2'
_symmetry_space_group_name_H-M 'P 1'
_symmetry_Int_Tables_number 1
_cell_length_a 7.634
_cell_length_b 7.634
_cell_length_c 7.634
_cell_angle_alpha 144.65
_cell_angle_beta 144.65
_cell_angle_gamma 50.85
loop_
_symmetry_equiv_pos_as_xyz
'x,y,z'
loop_
_atom_site_label
_atom_site_type_symbol
_atom_site_fract_x
_atom_site_fract_y
_atom_site_fract_z
K1 K 0.000 0.000 0.000
Ag1 Ag 0.250 0.750 0.500
Ag2 Ag 0.750 0.250 0.500
Te1 Te 0.372 0.372 0.000
Te2 Te 0.628 0.628 0.000



# 2
# Tb2PmNi9 (PBE, relaxed)
# density	9.5	g/cm³
# energy of formation	-0.389	eV/atom
data_Tb2PmNi9
_chemical_formula_sum 'Tb2 Pm1 Ni9'
_symmetry_space_group_name_H-M 'P 1'
_symmetry_Int_Tables_number 1
_cell_length_a 8.608
_cell_length_b 8.608
_cell_length_c 8.608
_cell_angle_alpha 33.62
_cell_angle_beta 33.62
_cell_angle_gamma 33.62
loop_
_symmetry_equiv_pos_as_xyz
'x,y,z'
loop_
_atom_site_label
_atom_site_type_symbol
_atom_site_fract_x
_atom_site_fract_y
_atom_site_fract_z
Tb1 Tb 0.139 0.139 0.139
Tb2 Tb 0.861 0.861 0.861
Pm1 Pm 0.000 0.000 0.000
Ni1 Ni 0.082 0.583 0.583
Ni2 Ni 0.333 0.333 0.333
Ni3 Ni 0.417 0.417 0.918
Ni4 Ni 0.417 0.918 0.417
Ni5 Ni 0.500 0.500 0.500
Ni6 Ni 0.583 0.082 0.583
Ni7 Ni 0.583 0.583 0.082
Ni8 Ni 0.667 0.667 0.667
Ni9 Ni 0.918 0.417 0.417



# 3
# PmBiB4 (PBE, relaxed)
# density	8.4	g/cm³
# relative energy among the computed polymorphs	1.45	kcal/mol of atoms
data_PmBiB4
_chemical_formula_sum 'Pm1 Bi1 B4'
_symmetry_space_group_name_H-M 'P 1'
_symmetry_Int_Tables_number 1
_cell_length_a 3.290
_cell_length_b 3.290
_cell_length_c 8.348
_cell_angle_alpha 90.00
_cell_angle_beta 90.00
_cell_angle_gamma 120.00
loop_
_symmetry_equiv_pos_as_xyz
'x,y,z'
loop_
_atom_site_label
_atom_site_type_symbol
_atom_site_fract_x
_atom_site_fract_y
_atom_site_fract_z
Pm1 Pm 0.000 0.000 0.000
Bi1 Bi 0.000 0.000 0.500
B1 B 0.333 0.667 0.240
B2 B 0.333 0.667 0.760
B3 B 0.667 0.333 0.240
B4 B 0.667 0.333 0.760



# 4
# In3Au7 (PBE, relaxed)
# density	14.7	g/cm³
# uncorrected energy	-3.249	eV per atom
data_In3Au7
_chemical_formula_sum 'In18 Au42'
_symmetry_space_group_name_H-M 'P 1'
_symmetry_Int_Tables_number 1
_cell_length_a 12.460
_cell_length_b 12.460
_cell_length_c 8.707
_cell_angle_alpha 90.00
_cell_angle_beta 90.00
_cell_angle_gamma 120.00
loop_
_symmetry_equiv_pos_as_xyz
'x,y,z'
loop_
_atom_site_label
_atom_site_type_symbol
_atom_site_fract_x
_atom_site_fract_y
_atom_site_fract_z
In1 In 0.023 0.834 0.252
In2 In 0.140 0.642 0.460
In3 In 0.166 0.188 0.252
In4 In 0.167 0.473 0.962
In5 In 0.188 0.023 0.748
In6 In 0.307 0.833 0.962
In7 In 0.358 0.498 0.460
In8 In 0.473 0.307 0.038
In9 In 0.498 0.140 0.540
In10 In 0.502 0.860 0.460
In11 In 0.527 0.693 0.962
In12 In 0.642 0.502 0.540
In13 In 0.693 0.167 0.038
In14 In 0.812 0.977 0.252
In15 In 0.833 0.527 0.038
In16 In 0.834 0.812 0.748
In17 In 0.860 0.358 0.540
In18 In 0.977 0.166 0.748
Au1 Au 0.000 0.000 0.000
Au2 Au 0.000 0.000 0.500
Au3 Au 0.010 0.779 0.927
Au4 Au 0.039 0.795 0.584
Au5 Au 0.086 0.642 0.135
Au6 Au 0.109 0.421 0.627
Au7 Au 0.110 0.638 0.796
Au8 Au 0.138 0.438 0.292
Au9 Au 0.205 0.244 0.584
Au10 Au 0.221 0.231 0.927
Au11 Au 0.231 0.010 0.073
Au12 Au 0.244 0.039 0.416
Au13 Au 0.300 0.862 0.292
Au14 Au 0.313 0.891 0.627
Au15 Au 0.333 0.667 0.176
Au16 Au 0.333 0.667 0.668
Au17 Au 0.358 0.444 0.135
Au18 Au 0.362 0.472 0.796
Au19 Au 0.421 0.313 0.373
Au20 Au 0.438 0.300 0.708
Au21 Au 0.444 0.086 0.865
Au22 Au 0.472 0.110 0.204
Au23 Au 0.528 0.890 0.796
Au24 Au 0.556 0.914 0.135
Au25 Au 0.562 0.700 0.292
Au26 Au 0.579 0.687 0.627
Au27 Au 0.638 0.528 0.204
Au28 Au 0.642 0.556 0.865
Au29 Au 0.667 0.333 0.332
Au30 Au 0.667 0.333 0.824
Au31 Au 0.687 0.109 0.373
Au32 Au 0.700 0.138 0.708
Au33 Au 0.756 0.961 0.584
Au34 Au 0.769 0.990 0.927
Au35 Au 0.779 0.769 0.073
Au36 Au 0.795 0.756 0.416
Au37 Au 0.862 0.562 0.708
Au38 Au 0.890 0.362 0.204
Au39 Au 0.891 0.579 0.373
Au40 Au 0.914 0.358 0.865
Au41 Au 0.961 0.205 0.416
Au42 Au 0.990 0.221 0.073